1.
Material: Ta2FeCo4
Method: DFT, GGA-PBE
State: relaxed

Lattice parameters (Å, degrees): 8.0752 4.9040 5.3849 117.31 90.00 90.00
Last column: magnetic moment on the atom in μB.
Atoms (fractional coordinates):
Co 0.7497 0.2474 0.0003  1.21
Co 0.2503 0.7526 0.9997  1.21
Co 0.7503 0.5037 0.5004  0.57
Co 0.7497 0.0037 0.5004  0.57
Co 0.2497 0.4963 0.4996  0.57
Co 0.2497 0.2526 0.9997  1.21
Co 0.2503 0.9963 0.4996  0.57
Co 0.7503 0.7474 0.0003  1.21
Ta 0.5001 0.1518 0.3041  -0.11
Ta 0.0001 0.3482 0.6959  -0.11
Ta 0.4999 0.8482 0.6959  -0.11
Ta 0.9999 0.6518 0.3041  -0.11
Fe 0.5000 0.5000 0.0000  2.55
Fe 0.0000 0.0000 0.0000  2.55

Computed properties:
Formation energy in meV/atom: 158.4
SG: P2_1/c (14)
Total moment in μB/cell: 11.7
Volume in Å³/cell: 189.5

---

2.
Material: NiMo2Cl
Method: DFT, GGA-PBE
State: relaxed

Lattice parameters (Å, degrees): 4.2868 4.2868 4.2868 60.00 60.00 60.00
Atoms (fractional coordinates):
Mo 0.2500 0.2500 0.2500
Mo 0.7500 0.7500 0.7500
Ni 0.5000 0.5000 0.5000
Cl 0.0000 0.0000 0.0000

Computed properties:
Excess energy over the best structure of this formula in the dataset in meV/atom: 395
SG: Fm-3m (225)
Total moment in μB/cell: 0.0
Raw formation energy in eV/atom: 0.61
Volume in Å³/cell: 55.7

---

3.
Material: MgZrOsI2
Method: DFT, GGA-PBE
State: relaxed

Lattice parameters (Å, degrees): 5.3507 4.8738 5.3507 90.00 90.00 90.00
Last column: magnetic moment on the atom in μB.
Atoms (fractional coordinates):
Os 0.0000 0.0000 0.0000  -0.21
Mg 0.0000 0.5000 0.0000  0.01
Zr 0.5000 0.5000 0.5000  1.50
I 0.0000 0.0000 0.5000  -0.04
I 0.5000 0.0000 0.0000  -0.03

Computed properties:
SG: P4/mmm (123)
Total moment in μB/cell: 2.3
Raw formation energy in eV/atom: 1.07
Volume in Å³/cell: 139.5

---

4.
Material: Na3BiF
Method: DFT, GGA-PBE
State: relaxed

Lattice parameters (Å, degrees): 4.8208 4.8208 4.8208 90.00 90.00 90.00
Atoms (fractional coordinates):
Na 0.5000 0.0000 0.0000
Na 0.0000 0.0000 0.5000
Na 0.0000 0.5000 0.0000
F 0.0000 0.0000 0.0000
Bi 0.5000 0.5000 0.5000

Computed properties:
Excess energy over the best structure of this formula in the dataset in meV/atom: 0
SG: Pm-3m (221)
Total moment in μB/cell: 0.0
Raw formation energy in eV/atom: -1.21
Volume in Å³/cell: 112.0

---

5.
Material: Ac2NiH6Ru
Method: DFT, GGA-PBE
State: relaxed

Lattice parameters (Å, degrees): 5.6066 5.4513 5.4451 120.00 119.30 89.76
Atoms (fractional coordinates):
Ac 0.7531 0.2506 0.5017
Ac 0.2352 0.7457 0.4900
Ni 0.1009 0.0360 0.0679
Ru 0.4883 0.4962 0.9918
H 0.2612 0.2584 0.5144
H 0.7124 0.7202 0.4414
H 0.2628 0.2585 0.0051
H 0.7106 0.7196 0.9899
H 0.7138 0.2717 0.9924
H 0.2608 0.7470 0.0033

Computed properties:
E in eV for the cell shown: -47.45
SG: P1 (1)
Total moment in μB/cell: 0.0
Volume in Å³/cell: 119.1

---

6.
Material: Pr2AlPd5
Method: DFT, GGA-PBE
State: relaxed

Lattice parameters (Å, degrees): 6.0948 6.0948 6.0948 93.43 118.04 118.04
Atoms (fractional coordinates):
Pd 0.0000 0.2773 0.7267
Pd 0.5506 0.2773 0.2773
Pd 0.0000 0.7267 0.2773
Pd 0.4494 0.7267 0.7267
Pd 0.0000 0.2595 0.2595
Pr 0.5000 0.2477 0.7477
Pr 0.5000 0.7477 0.2477
Al 0.0000 0.9593 0.9593

Computed properties:
Formation energy in meV/atom: -738.0
SG: I4mm (107)
Total moment in μB/cell: 0.0
Volume in Å³/cell: 164.5

---

7.
Material: ZrCu2Si
Method: DFT, GGA-PBE
State: relaxed

Lattice parameters (Å, degrees): 3.0427 3.0427 6.4751 90.00 90.00 90.66
Atoms (fractional coordinates):
Si 0.5000 0.5000 0.2500
Zr 0.5000 0.5000 0.7500
Cu 0.0000 0.0000 0.0466
Cu 0.0000 0.0000 0.4534

Computed properties:
SG: Cmmm (65)
Total moment in μB/cell: 0.0
Raw formation energy in eV/atom: -0.07
Volume in Å³/cell: 59.9

---

8.
Material: LiTaW2
Method: DFT, GGA-PBE
State: relaxed

Lattice parameters (Å, degrees): 2.7385 2.7385 9.5422 90.00 90.00 109.56
Atoms (fractional coordinates):
W 0.5000 0.5000 0.2410
W 0.0000 0.0000 0.0071
Ta 0.5000 0.5000 0.7615
Li 0.0000 0.0000 0.4904

Computed properties:
Formation energy in meV/atom: 252.1
Excess energy over the best structure of this formula in the dataset in meV/atom: 0
SG: Cmm2 (35)
Total moment in μB/cell: 0.0
Volume in Å³/cell: 67.4

---

9.
Material: Ce2DyHoTe5
Method: DFT, GGA-PBE
State: relaxed

Lattice parameters (Å, degrees): 5.5064 5.5064 11.5506 90.00 90.00 90.00
Last column: magnetic moment on the atom in μB.
Atoms (fractional coordinates):
Ho 0.0000 0.0000 0.5000  0.08
Dy 0.0000 0.0000 0.0000  0.05
Te 0.0000 0.0000 0.2450  -0.01
Te 0.0000 0.5000 0.5000  -0.01
Te 0.5000 0.0000 0.5000  -0.01
Te 0.5000 0.5000 0.0000  -0.01
Te 0.0000 0.0000 0.7550  -0.01
Ce 0.5000 0.5000 0.6808  1.37
Ce 0.5000 0.5000 0.3192  1.37

Computed properties:
SG: P4/mmm (123)
Total moment in μB/cell: 3.4
Raw formation energy in eV/atom: -0.82
Volume in Å³/cell: 350.2

---

10.
Material: Ho2ScPaS4
Method: DFT, GGA-PBE
State: relaxed

Lattice parameters (Å, degrees): 3.8160 6.6888 6.6555 108.96 90.00 90.00
Atoms (fractional coordinates):
Pa 0.5000 0.5000 0.0000
Sc 0.0000 0.0000 0.0000
Ho 0.5000 0.0000 0.5000
Ho 0.0000 0.5000 0.5000
S 0.5000 0.2397 0.2417
S 0.5000 0.7603 0.7583
S 0.0000 0.2414 0.7510
S 0.0000 0.7586 0.2490

Computed properties:
SG: P2/m (10)
Total moment in μB/cell: 0.0
Raw formation energy in eV/atom: -1.83
Volume in Å³/cell: 160.7

---

11.
Material: PaCd2Hg
Method: DFT, GGA-PBE
State: relaxed

Lattice parameters (Å, degrees): 4.8843 4.5194 4.5194 90.00 90.00 90.00
Last column: magnetic moment on the atom in μB.
Atoms (fractional coordinates):
Hg 0.5000 0.0000 0.0000  0.06
Cd 0.0000 0.5000 0.0000  0.03
Cd 0.0000 0.0000 0.5000  0.03
Pa 0.5000 0.5000 0.5000  1.24

Computed properties:
Formation energy in meV/atom: 179.8
Excess energy over the best structure of this formula in the dataset in meV/atom: 147
SG: P4/mmm (123)
Total moment in μB/cell: 1.8
Volume in Å³/cell: 99.8

---

12.
Material: Sc2NiPb
Method: DFT, GGA-PBE
State: relaxed

Lattice parameters (Å, degrees): 5.5803 5.5803 5.5803 136.63 136.63 63.00
Atoms (fractional coordinates):
Pb 0.7500 0.2500 0.5000
Ni 0.5000 0.5000 0.0000
Sc 0.2500 0.7500 0.5000
Sc 0.0000 0.0000 0.0000

Computed properties:
Formation energy in meV/atom: -208.4
SG: I-4m2 (119)
Total moment in μB/cell: 0.0
Volume in Å³/cell: 80.9